CsZr2BMo | PBE-GGA | optimized geometry

Summary:
crystal system	tetragonal
magnetic moment	0.0	μB per formula unit
DFT total energy	-5.9085	eV per atom
theoretical density	5.772	g/cm3

a = 5.1888 Å, b = 5.1888 Å, c = 4.5104 Å
α = 90.00°, β = 90.00°, γ = 90.00°
Space group P4/mmm (No. 123)
Asymmetric unit:
Cs1 0.0000 0.0000 0.0000 (multiplicity 1)
Zr1 0.0000 0.5000 0.5000 (multiplicity 2)
B1 0.5000 0.5000 0.0000 (multiplicity 1)
Mo1 0.5000 0.5000 0.5000 (multiplicity 1)

Cs2B2N | PBE-GGA | optimized geometry

Summary:
crystal system	tetragonal
magnetic moment	1.0	μB per formula unit
raw formation energy	0.27	eV per atom
DFT total energy	-4.4109	eV per atom
theoretical density	2.252	g/cm3

a = 6.3490 Å, b = 6.3490 Å, c = 11.0265 Å
α = 90.00°, β = 90.00°, γ = 90.00°
Space group I4/mmm (No. 139)
Asymmetric unit:
Cs1 0.0000 0.5000 0.2500 (multiplicity 4)
B1 0.0000 0.0000 0.1218 (multiplicity 4)
N1 0.0000 0.0000 0.0000 (multiplicity 2)

CsB3N | PBE-GGA | optimized geometry

Summary:
crystal system	cubic
magnetic moment	0.0	μB per formula unit
raw formation energy	2.78	eV per atom
DFT total energy	-3.0628	eV per atom
theoretical density	4.287	g/cm3

a = 4.1107 Å, b = 4.1107 Å, c = 4.1107 Å
α = 90.00°, β = 90.00°, γ = 90.00°
Space group Pm-3m (No. 221)
Asymmetric unit:
Cs1 0.0000 0.0000 0.0000 (multiplicity 1)
B1 0.0000 0.5000 0.5000 (multiplicity 3)
N1 0.5000 0.5000 0.5000 (multiplicity 1)